YScTi2 | GGA-PBE | optimized geometry

Cell: 7.139 7.139 7.139 Å, 90.00 90.00 90.00°
Sites, in units of the cell vectors:
Y: 0.000 0.000 0.000
Y: 0.000 0.500 0.500
Y: 0.500 0.000 0.500
Y: 0.500 0.500 0.000
Sc: 0.000 0.000 0.500
Sc: 0.000 0.500 0.000
Sc: 0.500 0.000 0.000
Sc: 0.500 0.500 0.500
Ti: 0.250 0.250 0.250
Ti: 0.250 0.250 0.750
Ti: 0.250 0.750 0.250
Ti: 0.250 0.750 0.750
Ti: 0.750 0.250 0.250
Ti: 0.750 0.250 0.750
Ti: 0.750 0.750 0.250
Ti: 0.750 0.750 0.750

Total energy: -109.2 eV per cell
Symmetry: Fm-3m (225)

=====

ScTiZn | GGA-PBE | optimized geometry

Cell: 4.727 4.727 2.799 Å, 90.00 90.00 120.00°
Sites, in units of the cell vectors:
Sc: 0.000 0.000 0.000
Ti: 0.333 0.667 0.000
Zn: 0.667 0.333 0.500

Total energy: -15.2 eV per cell
Symmetry: P-6m2 (187)

=====

ScTiZn4 | GGA-PBE | optimized geometry

Cell: 3.019 4.329 7.499 Å, 90.00 90.00 90.00°
Sites, in units of the cell vectors:
Sc: 0.000 0.000 0.000
Ti: 0.000 0.500 0.500
Zn: 0.500 0.000 0.338
Zn: 0.500 0.000 0.662
Zn: 0.500 0.500 0.172
Zn: 0.500 0.500 0.828

Total energy: -20.8 eV per cell
Symmetry: Pmmm (47)

=====

ScTiZn17 | GGA-PBE | optimized geometry

Cell: 6.679 6.679 6.679 Å, 82.40 82.40 82.40°
Sites, in units of the cell vectors:
Sc: 0.000 0.000 0.000
Ti: 0.341 0.341 0.341
Zn: 0.033 0.033 0.479
Zn: 0.033 0.479 0.033
Zn: 0.154 0.679 0.679
Zn: 0.319 0.319 0.807
Zn: 0.319 0.807 0.319
Zn: 0.364 0.664 0.973
Zn: 0.364 0.973 0.664
Zn: 0.479 0.033 0.033
Zn: 0.562 0.562 0.562
Zn: 0.664 0.364 0.973
Zn: 0.664 0.973 0.364
Zn: 0.679 0.154 0.679
Zn: 0.679 0.679 0.154
Zn: 0.763 0.763 0.763
Zn: 0.807 0.319 0.319
Zn: 0.973 0.364 0.664
Zn: 0.973 0.664 0.364

Total energy: -37.7 eV per cell
Symmetry: R3m (160)

=====

Sc2Ti2Zn | GGA-PBE | optimized geometry

Cell: 6.861 6.861 4.261 Å, 90.00 90.00 90.00°
Sites, in units of the cell vectors:
Sc: 0.159 0.341 0.000
Sc: 0.341 0.841 0.000
Sc: 0.659 0.159 0.000
Sc: 0.841 0.659 0.000
Ti: 0.138 0.638 0.500
Ti: 0.362 0.138 0.500
Ti: 0.638 0.862 0.500
Ti: 0.862 0.362 0.500
Zn: 0.000 0.000 0.500
Zn: 0.500 0.500 0.500

Total energy: -58.3 eV per cell
Symmetry: P4/mbm (127)

=====

ScTiZn2 | GGA-PBE | optimized geometry

Cell: 7.399 7.399 5.372 Å, 90.00 90.00 90.00°
Sites, in units of the cell vectors:
Sc: 0.000 0.000 0.000
Sc: 0.000 0.500 0.250
Sc: 0.500 0.000 0.750
Sc: 0.500 0.500 0.500
Ti: 0.000 0.000 0.500
Ti: 0.000 0.500 0.750
Ti: 0.500 0.000 0.250
Ti: 0.500 0.500 0.000
Zn: 0.233 0.250 0.625
Zn: 0.250 0.733 0.875
Zn: 0.250 0.767 0.375
Zn: 0.267 0.250 0.125
Zn: 0.733 0.750 0.125
Zn: 0.750 0.233 0.375
Zn: 0.750 0.267 0.875
Zn: 0.767 0.750 0.625

Total energy: -64.1 eV per cell
Symmetry: I-42d (122)

=====

Sc3Ti2Zn3 | GGA-PBE | optimized geometry

Cell: 3.214 4.697 19.492 Å, 90.00 90.00 90.00°
Sites, in units of the cell vectors:
Sc: 0.000 0.000 0.000
Sc: 0.000 0.500 0.129
Sc: 0.000 0.500 0.871
Sc: 0.500 0.000 0.371
Sc: 0.500 0.000 0.629
Sc: 0.500 0.500 0.500
Ti: 0.000 0.000 0.235
Ti: 0.000 0.000 0.765
Ti: 0.500 0.500 0.265
Ti: 0.500 0.500 0.735
Zn: 0.000 0.000 0.500
Zn: 0.000 0.500 0.379
Zn: 0.000 0.500 0.621
Zn: 0.500 0.000 0.121
Zn: 0.500 0.000 0.879
Zn: 0.500 0.500 0.000

Total energy: -80.8 eV per cell
Symmetry: Immm (71)

=====

ScTiZn2 | GGA-PBE | optimized geometry

Cell: 6.500 6.500 6.500 Å, 90.00 90.00 90.00°
Sites, in units of the cell vectors:
Sc: 0.000 0.000 0.000
Sc: 0.000 0.500 0.500
Sc: 0.500 0.000 0.500
Sc: 0.500 0.500 0.000
Ti: 0.000 0.000 0.500
Ti: 0.000 0.500 0.000
Ti: 0.500 0.000 0.000
Ti: 0.500 0.500 0.500
Zn: 0.250 0.250 0.250
Zn: 0.250 0.250 0.750
Zn: 0.250 0.750 0.250
Zn: 0.250 0.750 0.750
Zn: 0.750 0.250 0.250
Zn: 0.750 0.250 0.750
Zn: 0.750 0.750 0.250
Zn: 0.750 0.750 0.750

Total energy: -70.8 eV per cell
Symmetry: Fm-3m (225)

=====

For the records above, the corresponding ΔH_f (0 K) values read 323 108 -252 -95 113 185 -224 -233 meV/atom.